1.
Nd2ErMg4Tl2 | OQMD via LeMat-Bulk | PBE | relaxed; E = -27.29 eV/cell; crystal system = orthorhombic; total magnetic moment = 0.00 μB/atom
1.0
-3.294 -1.384 -3.094
3.932 -6.396 -1.325
-5.228 0.039 5.549
Nd Mg Tl Er
2 4 2 1
Cartesian
0.951 -6.354 1.830
-2.979 -3.593 4.779
-2.632 -5.522 1.662
-0.011 -0.053 0.036
-5.919 -2.207 3.678
1.013 -7.077 -1.523
-3.783 -2.800 1.670
-0.799 -4.897 -0.569
-0.559 -2.743 1.823

---

2.
TeAsPdO | OQMD via LeMat-Bulk | PBE | relaxed; E = -33.57 eV/cell; crystal system = tetragonal; polymorph energy (0 for the lowest one) = 1.968 eV per formula unit
1.0
4.497 0.000 0.000
0.000 4.497 0.000
0.000 0.000 7.823
O Pd As Te
2 2 2 2
Cartesian
1.124 3.373 0.000
3.373 1.124 0.000
3.373 3.373 7.468
1.124 1.124 0.354
1.124 1.124 5.824
3.373 3.373 1.999
3.373 1.124 3.911
1.124 3.373 3.911

---

3.
HfBi | OQMD via LeMat-Bulk | PBE | relaxed; E = -28.30 eV/cell; crystal system = hexagonal; total magnetic moment = 0.00 μB/atom
1.0
-3.268 -1.144 5.190
3.502 1.183 2.466
-2.995 3.050 -1.214
Hf Bi
2 2
Cartesian
-1.634 -0.572 2.595
0.000 0.000 0.000
-1.646 2.142 1.310
-1.115 0.948 5.132

---

4.
InPd2W | OQMD via LeMat-Bulk | PBE | relaxed; E = -25.11 eV/cell; crystal system = cubic; total magnetic moment = 0.00 μB/atom
1.0
1.272 1.573 4.072
-3.105 0.648 3.258
-0.095 -2.740 3.627
W In Pd
1 1 2
Cartesian
-0.482 -0.130 2.739
-0.964 -0.260 5.478
0.000 0.000 0.000
-1.447 -0.389 8.217

---

5.
FeNiBW | OQMD via LeMat-Bulk | PBE | relaxed; E = -32.42 eV/cell; crystal system = cubic; polymorph energy (0 for the lowest one) = 0.000 eV per formula unit; total magnetic moment = 0.21 μB/atom
1.0
0.000 2.789 2.789
2.789 0.000 2.789
2.789 2.789 0.000
W Fe B Ni
1 1 1 1
Cartesian
1.395 1.395 1.395
4.184 4.184 4.184
0.000 0.000 0.000
2.789 2.789 2.789

---

6.
Tb2HoFeSn3Ir2 | OQMD via LeMat-Bulk | PBE | relaxed; E = -58.04 eV/cell; crystal system = orthorhombic; total magnetic moment = 0.19 μB/atom
1.0
-0.190 0.196 -3.756
2.598 -7.121 -0.504
-7.475 1.281 0.446
Tb Sn Fe Ir Ho
2 3 1 2 1
Cartesian
-3.049 0.523 0.182
1.060 -2.905 -0.206
-3.047 -6.066 -2.051
-1.355 -1.410 -1.893
-5.635 -3.907 -1.806
-4.874 -5.837 -0.058
-4.206 -1.431 -1.749
-0.865 -4.217 -2.065
-2.889 -3.460 -0.034

---

7.
HoInNO | OQMD via LeMat-Bulk | PBE | relaxed; E = -51.76 eV/cell; crystal system = orthorhombic; polymorph energy (0 for the lowest one) = 0.053 eV per formula unit; total magnetic moment = 0.00 μB/atom
1.0
-1.875 -3.248 0.000
0.000 0.000 5.701
-5.725 3.305 0.000
O Ho N In
2 2 2 2
Cartesian
-5.371 0.935 4.965
-2.230 -0.878 2.114
-3.791 2.189 0.007
-1.934 1.116 2.858
-3.797 2.192 2.268
-1.928 1.113 5.118
-1.875 -1.083 5.610
-5.726 1.140 2.759

---

8.
FeAu2 | OQMD via LeMat-Bulk | PBE | relaxed; E = -26.42 eV/cell; crystal system = cubic; formation energy = 0.54 eV/atom; total magnetic moment = 1.09 μB/atom
1.0
-4.757 -2.430 -0.299
-4.335 2.340 2.087
-3.802 1.948 -3.222
Au Fe
4 2
Cartesian
-5.891 -0.009 -1.939
-8.059 1.161 -0.896
-6.158 0.187 0.715
-5.680 2.376 -0.746
-3.224 0.465 -0.358
0.000 0.000 0.000

---

9.
TmTcGe | OQMD via LeMat-Bulk | PBE | relaxed; E = -19.68 eV/cell; crystal system = cubic; polymorph energy (0 for the lowest one) = 0.000 eV per formula unit; total magnetic moment = 0.11 μB/atom
1.0
0.000 3.131 3.131
3.131 0.000 3.131
3.131 3.131 0.000
Tm Tc Ge
1 1 1
Cartesian
4.696 4.696 4.696
1.565 1.565 1.565
0.000 0.000 0.000

---

10.
Ta4P3W2N3 | OQMD via LeMat-Bulk | PBE | relaxed; E = -240.78 eV/cell; crystal system = monoclinic; total magnetic moment = 0.00 μB/atom
1.0
4.709 -2.712 0.000
4.709 2.712 0.000
-3.325 0.000 12.141
Ta N P W
8 6 6 4
Cartesian
0.704 0.444 4.819
-0.959 -0.444 10.889
-0.899 -0.485 7.334
0.764 0.485 1.263
5.329 -0.485 10.878
5.389 -0.444 7.323
7.051 0.444 1.252
6.991 0.485 4.808
3.776 -1.293 6.113
0.692 -1.356 6.071
2.316 1.293 6.028
2.354 1.356 0.000
5.439 1.293 0.043
0.654 -1.293 12.099
2.215 -2.250 9.106
5.489 -0.477 3.012
3.827 0.477 9.083
2.266 -0.477 3.059
3.877 2.250 3.035
0.603 0.477 9.129
2.144 -0.371 7.506
3.806 0.371 1.436
2.286 -0.371 10.706
3.949 0.371 4.635

---

11.
LiPr2C2N4F3 | OQMD via LeMat-Bulk | PBE | relaxed; E = -181.96 eV/cell; crystal system = monoclinic; total magnetic moment = 0.00 μB/atom
1.0
0.000 -6.504 0.000
-5.776 3.252 -0.043
3.563 0.000 -7.594
C F N Pr Li
4 6 8 4 2
Cartesian
-3.551 -1.629 -4.191
1.337 -1.623 -3.446
3.119 -4.881 -7.243
-5.332 1.629 -0.394
0.937 -0.788 -6.586
0.891 -3.927 -1.899
2.672 -2.576 -5.696
-1.369 -4.040 -4.848
-3.150 -2.464 -1.051
-0.844 0.788 -2.789
0.327 -1.951 -4.090
-1.684 -1.955 -6.622
-2.540 -1.301 -3.547
-0.759 1.301 -7.344
-0.529 -1.297 -1.016
-1.454 -4.552 -0.293
-3.465 1.955 -2.825
1.252 -5.207 -4.813
-2.717 -0.021 -1.302
-0.936 0.021 -5.099
-1.277 -3.273 -2.538
0.504 -3.231 -6.335
2.672 -0.587 -5.696
0.891 -5.917 -1.899

---

12.
Gd2Er2CF5 | OQMD via LeMat-Bulk | PBE | relaxed; E = -63.45 eV/cell; crystal system = monoclinic; total magnetic moment = 0.00 μB/atom
1.0
7.371 -1.741 0.000
7.371 1.741 0.000
-2.502 0.000 6.379
Gd Er C F
2 2 1 5
Cartesian
-0.589 0.000 1.543
12.830 0.000 4.836
9.501 0.000 0.872
2.739 0.000 5.507
7.371 0.000 0.000
10.459 0.000 4.108
0.350 0.000 5.823
11.890 0.000 0.556
6.120 0.000 3.189
1.781 0.000 2.270